# 1
## Nd12HgAu6 (PBE-GGA)

Data for a relaxed structure of Nd12HgAu6.

The space group is R-3 (No. 148, hexagonal axes) and the conventional cell measures 13.5501, 13.5501 and 12.1034 Å, with angles of 90.00, 90.00 and 120.00 degrees. The asymmetric unit holds Nd at (0.0316, 0.8192, 0.3913), Nd at (0.0396, 0.8226, 0.8889), Hg at (0.0000, 0.0000, 0.0000) and Au at (0.0442, 0.7840, 0.6460).

For the spin magnetization, the calculation gives 0.000 μB/atom. The final energy is -4.420 eV/atom.

***

# 2
## Sr3LiNb (PBE-GGA)

Data for a relaxed structure of Sr3LiNb.

The space group is Pm-3m (No. 221) and the conventional cell measures 5.7721, 5.7721 and 5.7721 Å, with angles of 90.00, 90.00 and 90.00 degrees. The asymmetric unit holds Sr at (0.0000, 0.0000, 0.5000), Li at (0.0000, 0.0000, 0.0000) and Nb at (0.5000, 0.5000, 0.5000).

For the spin magnetization, the calculation gives 0.000 μB/atom. The value obtained for the offset from the most stable computed form is 321 meV per atom.

***

# 3
## MnCrCuS4 (PBE-GGA)

Data for a relaxed structure of MnCrCuS4.

The space group is Imma (No. 74) and the conventional cell measures 6.9429, 6.9753 and 9.8235 Å, with angles of 90.00, 90.00 and 90.00 degrees. The asymmetric unit holds Mn at (0.2500, 0.2500, 0.2500), Cr at (0.0000, 0.0000, 0.0000), Cu at (0.0000, 0.2500, 0.6229), S at (0.0000, 0.0181, 0.2433) and S at (0.2334, 0.2500, 0.0102).

For the spin magnetization, the calculation gives 0.834 μB/atom. Its formation energy (no corrections) is -0.60 eV/atom.

***

# 4
## HfVSb2Te (PBE-GGA)

Data for a relaxed structure of HfVSb2Te.

The space group is P4/mmm (No. 123) and the conventional cell measures 5.0044, 5.0044 and 5.4130 Å, with angles of 90.00, 90.00 and 90.00 degrees. The asymmetric unit holds Hf at (0.0000, 0.0000, 0.0000), V at (0.5000, 0.5000, 0.5000), Sb at (0.0000, 0.5000, 0.5000) and Te at (0.5000, 0.5000, 0.0000).

For the spin magnetization, the calculation gives 0.236 μB/atom. The value obtained for the offset from the most stable computed form is 0 meV per atom. Its formation energy (no corrections) is 0.61 eV/atom.

***

# 5
## Nb2VSi4 (PBE-GGA)

Data for a relaxed structure of Nb2VSi4.

The space group is I4/mmm (No. 139) and the conventional cell measures 4.5104, 4.5104 and 12.5933 Å, with angles of 90.00, 90.00 and 90.00 degrees. The asymmetric unit holds Nb at (0.0000, 0.0000, 0.1098), V at (0.0000, 0.0000, 0.5000), Si at (0.0000, 0.0000, 0.3117) and Si at (0.0000, 0.5000, 0.0000).

For the spin magnetization, the calculation gives 0.021 μB/atom. Its formation energy (no corrections) is 0.36 eV/atom.

***

# 6
## Pm6Pr2SmDy3 (PBE-GGA)

Data for a relaxed structure of Pm6Pr2SmDy3.

The space group is C2/m (No. 12) and the conventional cell measures 6.2973, 10.9069 and 12.0260 Å, with angles of 90.00, 100.06 and 90.00 degrees. The asymmetric unit holds Pm at (0.2482, 0.0000, 0.2458), Pm at (0.2491, 0.3336, 0.2459), Pr at (0.0000, 0.3333, 0.5000), Sm at (0.0000, 0.0000, 0.5000), Dy at (0.0000, 0.1665, 0.0000) and Dy at (0.0000, 0.5000, 0.0000).

For the spin magnetization, the calculation gives 0.000 μB/atom. The final energy is -4.700 eV/atom.

***

# 7
## PI2Cl (PBE-GGA)

Data for a relaxed structure of PI2Cl.

The space group is P1 (No. 1) and the conventional cell measures 4.8099, 5.9438 and 7.5134 Å, with angles of 109.54, 104.46 and 100.56 degrees. The asymmetric unit holds P at (0.0000, 0.0000, 0.0000), I at (0.1791, 0.9197, 0.7068), I at (0.4733, 0.2108, 0.2938) and Cl at (0.8801, 0.6473, 0.9996).

For the spin magnetization, the calculation gives 0.000 μB/atom. The value obtained for the offset from the most stable computed form is 0 meV per atom. Its formation energy (no corrections) is -0.25 eV/atom.

***

# 8
## Tm3ThSc6 (PBE-GGA)

Data for a relaxed structure of Tm3ThSc6.

The space group is Cmc2_1 (No. 36) and the conventional cell measures 10.5331, 17.8409 and 5.8401 Å, with angles of 90.00, 90.00 and 90.00 degrees. The asymmetric unit holds Tm at (0.0000, 0.1068, 0.0000), Tm at (0.1735, 0.3931, 0.5851), Th at (0.0000, 0.2935, 0.9226), Sc at (0.0000, 0.2237, 0.4247), Sc at (0.0000, 0.4564, 0.1411), Sc at (0.1656, 0.0503, 0.5325) and Sc at (0.2471, 0.2145, 0.6898).

For the spin magnetization, the calculation gives 0.000 μB/atom. The value obtained for the offset from the most stable computed form is 0 meV per atom.

***

# 9
## NaNd2Sm (PBE-GGA)

Data for a relaxed structure of NaNd2Sm.

The space group is P4/mmm (No. 123) and the conventional cell measures 3.5815, 3.5815 and 10.9805 Å, with angles of 90.00, 90.00 and 90.00 degrees. The asymmetric unit holds Na at (0.0000, 0.0000, 0.0000), Nd at (0.5000, 0.5000, 0.2660) and Sm at (0.0000, 0.0000, 0.5000).

For the spin magnetization, the calculation gives 0.000 μB/atom. The value obtained for the offset from the most stable computed form is 2 meV per atom.

***

# 10
## Ce4PuH2 (PBE-GGA)

Data for a relaxed structure of Ce4PuH2.

The space group is C2/c (No. 15) and the conventional cell measures 10.5051, 8.8960 and 7.3298 Å, with angles of 90.00, 125.66 and 90.00 degrees. The asymmetric unit holds Ce at (0.0035, 0.2288, 0.4751), Ce at (0.2191, 0.4771, 0.9438), Pu at (0.0000, 0.0620, 0.7500), H at (0.0000, 0.5000, 0.0000) and H at (0.2500, 0.2500, 0.5000).

For the spin magnetization, the calculation gives 0.346 μB/atom. The final energy is -6.504 eV/atom.

***

# 11
## ThHIr (PBE-GGA)

Data for a relaxed structure of ThHIr.

The space group is P3m1 (No. 156) and the conventional cell measures 4.0487, 4.0487 and 3.6169 Å, with angles of 90.00, 90.00 and 120.00 degrees. The asymmetric unit holds Th at (0.0000, 0.0000, 0.0000), H at (0.3333, 0.6667, 0.5016) and Ir at (0.6667, 0.3333, 0.5002).

For the spin magnetization, the calculation gives 0.000 μB/atom. The value obtained for the offset from the most stable computed form is 254 meV per atom.

***

# 12
## TbPr3Se6 (PBE-GGA)

Data for a relaxed structure of TbPr3Se6.

The space group is R-3 (No. 148, hexagonal axes) and the conventional cell measures 12.3785, 12.3785 and 14.6674 Å, with angles of 90.00, 90.00 and 120.00 degrees. The asymmetric unit holds Tb at (0.0000, 0.0000, 0.0000), Tb at (0.0000, 0.0000, 0.5000), Pr at (0.0511, 0.7798, 0.2015), Se at (0.0208, 0.8119, 0.3985) and Se at (0.0324, 0.8394, 0.8790).

For the spin magnetization, the calculation gives 0.000 μB/atom. Its formation energy (no corrections) is -1.87 eV/atom.

***

# 13
## Dy2Al5Cu2Rh (PBE-GGA)

Data for a relaxed structure of Dy2Al5Cu2Rh.

The space group is P4/mbm (No. 127) and the conventional cell measures 9.5490, 9.5490 and 3.7988 Å, with angles of 90.00, 90.00 and 90.00 degrees. The asymmetric unit holds Dy at (0.1825, 0.3175, 0.0000), Al at (0.0000, 0.5000, 0.5000), Al at (0.0529, 0.8036, 0.5000), Cu at (0.1150, 0.6150, 0.0000) and Rh at (0.0000, 0.0000, 0.0000).

For the spin magnetization, the calculation gives 0.000 μB/atom. The final energy is -4.842 eV/atom.

***

# 14
## Li2US3 (PBE-GGA)

Data for a relaxed structure of Li2US3.

The space group is C2/m (No. 12) and the conventional cell measures 6.6864, 11.5642 and 6.5216 Å, with angles of 90.00, 110.01 and 90.00 degrees. The asymmetric unit holds Li at (0.0000, 0.0000, 0.0000), Li at (0.0000, 0.1649, 0.5000), Li at (0.0000, 0.5000, 0.5000), U at (0.0000, 0.3334, 0.0000), S at (0.2439, 0.5000, 0.2510) and S at (0.2479, 0.3305, 0.7523).

For the spin magnetization, the calculation gives 0.333 μB/atom. The value obtained for the offset from the most stable computed form is 0 meV per atom. Its formation energy (no corrections) is -1.39 eV/atom.

***

# 15
## Dy2PuZrP4 (PBE-GGA)

Data for a relaxed structure of Dy2PuZrP4.

The space group is P2/m (No. 10) and the conventional cell measures 6.7869, 3.9290 and 6.7966 Å, with angles of 90.00, 109.29 and 90.00 degrees. The asymmetric unit holds Dy at (0.0000, 0.0000, 0.0000), Dy at (0.5000, 0.5000, 0.0000), Pu at (0.0000, 0.5000, 0.5000), Zr at (0.5000, 0.0000, 0.5000), P at (0.2531, 0.0000, 0.7411) and P at (0.2593, 0.5000, 0.2617).

For the spin magnetization, the calculation gives 0.636 μB/atom. The final energy is -8.159 eV/atom.

***

# 16
## MnBeV3 (PBE-GGA)

Data for a relaxed structure of MnBeV3.

The space group is Pm-3m (No. 221) and the conventional cell measures 4.1023, 4.1023 and 4.1023 Å, with angles of 90.00, 90.00 and 90.00 degrees. The asymmetric unit holds Mn at (0.0000, 0.0000, 0.0000), Be at (0.5000, 0.5000, 0.5000) and V at (0.0000, 0.5000, 0.5000).

For the spin magnetization, the calculation gives 0.442 μB/atom. The value obtained for the offset from the most stable computed form is 0 meV per atom.

***

# 17
## Sm2DyAl2 (PBE-GGA)

Data for a relaxed structure of Sm2DyAl2.

The space group is P2_1/m (No. 11) and the conventional cell measures 6.2280, 3.6420 and 12.6949 Å, with angles of 90.00, 96.40 and 90.00 degrees. The asymmetric unit holds Sm at (0.0683, 0.2500, 0.3572), Sm at (0.2240, 0.7500, 0.9276), Dy at (0.4629, 0.2500, 0.7105), Al at (0.2872, 0.2500, 0.1268) and Al at (0.3436, 0.7500, 0.5156).

For the spin magnetization, the calculation gives 0.000 μB/atom. The value obtained for the offset from the most stable computed form is 164 meV per atom.

***

# 18
## Ho2TmZn3 (PBE-GGA)

Data for a relaxed structure of Ho2TmZn3.

The space group is P-3m1 (No. 164) and the conventional cell measures 5.0084, 5.0084 and 6.1450 Å, with angles of 90.00, 90.00 and 120.00 degrees. The asymmetric unit holds Ho at (0.3333, 0.6667, 0.1694), Tm at (0.0000, 0.0000, 0.5000), Zn at (0.0000, 0.0000, 0.0000) and Zn at (0.3333, 0.6667, 0.6670).

For the spin magnetization, the calculation gives 0.000 μB/atom. The final energy is -3.256 eV/atom.

***

# 19
## CsPt3O (PBE-GGA)

Data for a relaxed structure of CsPt3O.

The space group is Pm-3m (No. 221) and the conventional cell measures 5.2216, 5.2216 and 5.2216 Å, with angles of 90.00, 90.00 and 90.00 degrees. The asymmetric unit holds Cs at (0.0000, 0.0000, 0.0000), Pt at (0.0000, 0.0000, 0.5000) and O at (0.5000, 0.5000, 0.5000).

For the spin magnetization, the calculation gives 0.000 μB/atom. The value obtained for the offset from the most stable computed form is 1899 meV per atom. Its formation energy (no corrections) is 2.69 eV/atom.

***

# 20
## MgZnNi2H (PBE-GGA)

Data for a relaxed structure of MgZnNi2H.

The space group is P4/mmm (No. 123) and the conventional cell measures 3.7246, 3.7246 and 3.8939 Å, with angles of 90.00, 90.00 and 90.00 degrees. The asymmetric unit holds Mg at (0.0000, 0.0000, 0.0000), Zn at (0.5000, 0.5000, 0.0000), Ni at (0.0000, 0.5000, 0.5000) and H at (0.0000, 0.0000, 0.5000).

For the spin magnetization, the calculation gives 0.000 μB/atom. The value obtained for the offset from the most stable computed form is 0 meV per atom.

***

# 21
## Si2BrCl (PBE-GGA)

Data for a relaxed structure of Si2BrCl.

The space group is Fm-3m (No. 225) and the conventional cell measures 6.9193, 6.9193 and 6.9193 Å, with angles of 90.00, 90.00 and 90.00 degrees. The asymmetric unit holds Si at (0.2500, 0.2500, 0.2500), Br at (0.0000, 0.0000, 0.0000) and Cl at (0.0000, 0.0000, 0.5000).

For the spin magnetization, the calculation gives 0.000 μB/atom. The value obtained for the offset from the most stable computed form is 987 meV per atom. Its formation energy (no corrections) is 0.63 eV/atom.

***

# 22
## Pu2SbRh2 (PBE-GGA)

Data for a relaxed structure of Pu2SbRh2.

The space group is Immm (No. 71) and the conventional cell measures 4.5638, 5.7633 and 8.0989 Å, with angles of 90.00, 90.00 and 90.00 degrees. The asymmetric unit holds Pu at (0.0000, 0.0000, 0.2021), Sb at (0.0000, 0.5000, 0.0000) and Rh at (0.0000, 0.2690, 0.5000).

For the spin magnetization, the calculation gives 2.029 μB/atom. Its formation energy (no corrections) is -0.60 eV/atom.

***

Number 1: calculated volume 33.76 A^3/atom. Number 2: calculated volume 38.46 A^3/atom. Number 3: calculated volume 16.99 A^3/atom. Number 4: calculated volume 27.11 A^3/atom. Number 5: calculated volume 18.30 A^3/atom. Number 6: calculated volume 33.89 A^3/atom. Number 7: calculated volume 46.87 A^3/atom. Number 8: calculated volume 27.44 A^3/atom. Number 9: calculated volume 35.21 A^3/atom. Number 10: calculated volume 19.88 A^3/atom. Number 11: calculated volume 17.11 A^3/atom. Number 12: calculated volume 32.44 A^3/atom. Number 13: calculated volume 17.32 A^3/atom. Number 14: calculated volume 19.74 A^3/atom. Number 15: calculated volume 21.38 A^3/atom. Number 16: calculated volume 13.81 A^3/atom. Number 17: calculated volume 28.62 A^3/atom. Number 18: calculated volume 22.25 A^3/atom. Number 19: calculated volume 28.47 A^3/atom. Number 20: calculated volume 10.80 A^3/atom. Number 21: calculated volume 20.70 A^3/atom. Number 22: calculated volume 21.30 A^3/atom.